The following is a GGA+U calculation of a relaxed structure of VGaCuF6, from the Alexandria database.

Summary:
For the total magnetization, the calculation gives 5.80 Bohr magnetons per cell. Its volume is 12.910 A^3/atom. The calculation puts the electronic total energy at -5.0730 eV/atom.

POSCAR file:
```
VGaCuF6
1.0
5.3831 0.0000 0.0000
-2.6916 4.6619 0.0000
0.0000 0.0000 9.2596
V Ga Cu F
2 2 2 12
Direct
0.3333 0.6667 0.2500 V
0.6667 0.3333 0.7500 V
0.3333 0.6667 0.7500 Ga
0.6667 0.3333 0.2500 Ga
0.0000 0.0000 0.0000 Cu
0.0000 0.0000 0.5000 Cu
0.0261 0.3686 0.6363 F
0.0261 0.6576 0.8637 F
0.3424 0.3686 0.8637 F
0.3424 0.9739 0.6363 F
0.3686 0.0261 0.1363 F
0.3686 0.3424 0.3637 F
0.6314 0.6576 0.6363 F
0.6314 0.9739 0.8637 F
0.6576 0.0261 0.3637 F
0.6576 0.6314 0.1363 F
0.9739 0.3424 0.1363 F
0.9739 0.6314 0.3637 F
```